This record from Alexandria describes a relaxed KIn2P crystal. The functional is PBE.

Structure (POSCAR):
```
KIn2P
1.0
3.102 -5.374 0.000
3.102 5.374 0.000
0.000 0.000 3.183
K In P
1 2 1
direct
0.000 0.000 0.000
0.000 0.500 0.500
0.500 0.000 0.500
0.500 0.500 0.000
```

## Properties
- energy relative to the elements (eV/atom) = 0.239


This record from Alexandria describes a relaxed Sm8Tl2Ag crystal. The functional is PBE.

Structure (POSCAR):
```
Sm8Tl2Ag
1.0
9.620 -2.631 0.000
9.620 2.631 0.000
-1.593 0.000 6.724
Sm Tl Ag
8 2 1
direct
0.016 0.016 0.269
0.206 0.206 0.810
0.346 0.346 0.517
0.408 0.408 0.031
0.592 0.592 0.969
0.654 0.654 0.483
0.794 0.794 0.190
0.984 0.984 0.731
0.184 0.184 0.252
0.816 0.816 0.748
0.500 0.500 0.500
```

## Properties
- energy relative to the elements (eV/atom) = -0.143


This record from Alexandria describes a relaxed AcPaGa2 crystal. The functional is PBE.

Structure (POSCAR):
```
AcPaGa2
1.0
3.891 0.000 0.000
0.000 3.891 0.000
0.000 0.000 6.884
Ac Pa Ga
1 1 2
direct
0.000 0.000 0.000
0.000 0.000 0.500
0.500 0.500 0.294
0.500 0.500 0.706
```

## Properties
- energy relative to the elements (eV/atom) = -0.210


This record from Alexandria describes a relaxed LaTi4Se8 crystal. The functional is PBE.

Structure (POSCAR):
```
LaTi4Se8
1.0
3.617 2.088 7.124
-3.617 2.088 7.124
0.000 -4.177 7.124
La Ti Se
1 4 8
direct
0.000 0.000 0.000
0.000 0.000 0.500
0.000 0.500 0.000
0.500 0.000 0.000
0.500 0.500 0.500
0.237 0.237 0.237
0.248 0.735 0.735
0.265 0.265 0.752
0.265 0.752 0.265
0.735 0.248 0.735
0.735 0.735 0.248
0.752 0.265 0.265
0.763 0.763 0.763
```

## Properties
- formation energy from raw total energies (eV/f.u.) = -17.1